Computed, not measured: a relaxed structure of RbIrPt2N at the PBE-GGA level of DFT.

Values from the calculation:
The value obtained for the density of states at the Fermi level is 1.113 states/eV/atom. As for the total magnetic moment: 0.932 μB/f.u. The value obtained for the calculated total energy is -4.818 eV per atom. The calculation puts the theoretical density at 12.8 Mg/m³.

Cell and atoms, written as CIF:
```
data_RbIrPt2N
_chemical_formula_sum 'Rb1 Ir1 Pt2 N1'
_space_group_name_H-M_alt 'P 4/m m m'
_space_group_IT_number 123
_space_group_name_Hall '-P 4 2'
_cell_length_a 4.0933
_cell_length_b 4.0933
_cell_length_c 5.2871
_cell_angle_alpha 90.00
_cell_angle_beta 90.00
_cell_angle_gamma 90.00
loop_
_atom_site_label
_atom_site_type_symbol
_atom_site_fract_x
_atom_site_fract_y
_atom_site_fract_z
_atom_site_occupancy
Rb1 Rb 0.0000 0.0000 0.0000 1
Ir1 Ir 0.5000 0.5000 0.0000 1
Pt1 Pt 0.0000 0.5000 0.5000 1
N1 N 0.0000 0.0000 0.5000 1
```